A | Here is an optimized crystal structure of RbSbTeI2 from the Alexandria database. Energies are from PBE.

Properties
Density of states at the Fermi level, states/eV/atom: 2.37
Crystal system: tetragonal
Volume, Å³/cell: 268

```
RbSbTeI2
1.0
6.4224 0.0000 0.0000
0.0000 6.4224 0.0000
0.0000 0.0000 6.4938
I Sb Te Rb
2 1 1 1
Cartesian
0.0000 3.2112 0.0000
3.2112 0.0000 0.0000
3.2112 3.2112 3.2469
0.0000 0.0000 3.2469
0.0000 0.0000 0.0000
```

***

B | Here is an optimized crystal structure of RbSbTeI2 from the Alexandria database. Energies are from PBE.

Properties
Density of states at the Fermi level, states/eV/atom: 0.64
Crystal system: tetragonal
Volume, Å³/cell: 239

```
RbSbTeI2
1.0
-0.0933 -6.1146 2.0528
0.1302 -2.0544 -6.1134
5.7339 -0.0418 0.1361
I Sb Te Rb
2 1 1 1
Cartesian
0.0651 -1.0272 -3.0567
-0.0467 -3.0573 1.0264
2.8670 -0.0209 0.0681
0.0000 0.0000 0.0000
2.8854 -4.1054 -1.9622
```

***

Which is most stable? The ranking, best first, is B, A.

***

A | Here is an optimized crystal structure of RbSbTe2I from the Alexandria database. Energies are from PBE.

Properties
Density of states at the Fermi level, states/eV/atom: 1.16
Crystal system: tetragonal
Volume, Å³/cell: 220

```
RbSbTe2I
1.0
-1.0552 -4.3218 4.1439
0.3233 -4.2427 -4.3426
5.8560 -0.5224 0.9463
I Sb Te Rb
1 1 2 1
Cartesian
0.0000 0.0000 0.0000
2.9280 -0.2612 0.4732
0.1616 -2.1214 -2.1713
-0.5276 -2.1609 2.0719
2.5621 -4.5435 0.3738
```

***

B | Here is an optimized crystal structure of RbSbTe2I from the Alexandria database. Energies are from PBE.

Properties
Density of states at the Fermi level, states/eV/atom: 2.05
Crystal system: tetragonal
Volume, Å³/cell: 257

```
RbSbTe2I
1.0
-1.6561 6.0173 -1.3485
-3.2993 -2.0442 -5.0700
-5.1468 -0.6108 3.5956
I Sb Te Rb
1 1 2 1
Cartesian
-2.5734 -0.3054 1.7978
-5.0511 1.6811 -1.4114
-1.6497 -1.0221 -2.5350
-0.8281 3.0086 -0.6742
0.0000 0.0000 0.0000
```

***

C | Here is an optimized crystal structure of RbSbTe2I from the Alexandria database. Energies are from PBE.

Properties
Density of states at the Fermi level, states/eV/atom: 0.76
Crystal system: tetragonal
Volume, Å³/cell: 213

```
RbSbTe2I
1.0
5.8215 0.0000 0.0000
0.0000 5.8215 0.0000
0.0000 0.0000 6.2841
I Sb Te Rb
1 1 2 1
Cartesian
0.0000 0.0000 3.1420
0.0000 0.0000 0.0000
0.0000 2.9107 0.0000
2.9107 0.0000 0.0000
2.9107 2.9107 3.1420
```

***

D | Here is an optimized crystal structure of RbSbTe2I from the Alexandria database. Energies are from PBE.

Properties
Density of states at the Fermi level, states/eV/atom: 2.61
Crystal system: tetragonal
Volume, Å³/cell: 255

```
RbSbTe2I
1.0
-5.2060 -2.8076 1.9584
3.2087 -2.7606 4.5721
-1.2588 5.0971 3.9610
I Sb Te Rb
1 1 2 1
Cartesian
-1.6281 -0.2356 5.2458
-0.6294 2.5485 1.9805
1.6044 -1.3803 2.2860
-2.6030 -1.4038 0.9792
0.0000 0.0000 0.0000
```

***

Which is most stable? The ranking, best first, is C, A, B, D.

***

A | Here is an optimized crystal structure of RbSbWI2 from the Alexandria database. Energies are from PBE.

Properties
Density of states at the Fermi level, states/eV/atom: 0.49
Crystal system: tetragonal
Volume, Å³/cell: 186

```
RbSbWI2
1.0
5.9605 0.0000 0.0000
0.0000 5.9605 0.0000
0.0000 0.0000 5.2396
I Sb Rb W
2 1 1 1
Cartesian
0.0000 2.9803 0.0000
2.9803 0.0000 0.0000
0.0000 0.0000 2.6198
2.9803 2.9803 2.6198
0.0000 0.0000 0.0000
```

***

B | Here is an optimized crystal structure of RbSbWI2 from the Alexandria database. Energies are from PBE.

Properties
Density of states at the Fermi level, states/eV/atom: 3.08
Crystal system: tetragonal
Volume, Å³/cell: 307

```
RbSbWI2
1.0
6.6738 0.0000 0.0000
0.0000 6.6738 0.0000
0.0000 0.0000 6.9010
I Sb Rb W
2 1 1 1
Cartesian
0.0000 3.3369 0.0000
3.3369 0.0000 0.0000
0.0000 0.0000 3.4505
0.0000 0.0000 0.0000
3.3369 3.3369 3.4505
```

***

Which is most stable? The ranking, best first, is A, B.

***

A | Here is an optimized crystal structure of RbSb2WI from the Alexandria database. Energies are from PBE.

Properties
Density of states at the Fermi level, states/eV/atom: 1.87
Crystal system: tetragonal
Volume, Å³/cell: 214

```
RbSb2WI
1.0
-1.9415 4.6909 -3.1523
-4.4431 0.7931 3.9167
3.5057 3.6295 3.2419
I Sb Rb W
1 2 1 1
Cartesian
1.7528 1.8147 1.6209
-2.2216 0.3966 1.9584
-0.9707 2.3455 -1.5762
0.0000 0.0000 0.0000
-1.4395 4.5568 2.0032
```

***

B | Here is an optimized crystal structure of RbSb2WI from the Alexandria database. Energies are from PBE.

Properties
Density of states at the Fermi level, states/eV/atom: 0.77
Crystal system: tetragonal
Volume, Å³/cell: 174

```
RbSb2WI
1.0
5.2378 0.0000 0.0000
0.0000 5.2378 0.0000
0.0000 0.0000 6.3592
I Sb Rb W
1 2 1 1
Cartesian
0.0000 0.0000 3.1796
0.0000 2.6189 0.0000
2.6189 0.0000 0.0000
2.6189 2.6189 3.1796
0.0000 0.0000 0.0000
```

***

Which is most stable? The ranking, best first, is B, A.

***

A | Here is an optimized crystal structure of RbYSb2I from the Alexandria database. Energies are from PBE.

Properties
Density of states at the Fermi level, states/eV/atom: 1.05
Crystal system: tetragonal
Volume, Å³/cell: 218

```
RbYSb2I
1.0
5.8927 0.0000 0.0000
0.0000 5.8927 0.0000
0.0000 0.0000 6.2839
I Sb Y Rb
1 2 1 1
Cartesian
0.0000 0.0000 3.1419
0.0000 2.9463 0.0000
2.9463 0.0000 0.0000
0.0000 0.0000 0.0000
2.9463 2.9463 3.1419
```

***

B | Here is an optimized crystal structure of RbYSb2I from the Alexandria database. Energies are from PBE.

Properties
Density of states at the Fermi level, states/eV/atom: 1.14
Crystal system: tetragonal
Volume, Å³/cell: 210

```
RbYSb2I
1.0
-1.0741 5.7724 -0.2653
-5.2682 -0.8673 2.4575
2.4597 0.7115 5.5241
I Sb Y Rb
1 2 1 1
Cartesian
1.2299 0.3558 2.7620
-2.6341 -0.4337 1.2287
-0.5370 2.8862 -0.1326
-1.9413 2.8083 3.8581
0.0000 0.0000 0.0000
```

***

Which is most stable? The ranking, best first, is A, B.

***

A | Here is an optimized crystal structure of RbYSbI2 from the Alexandria database. Energies are from PBE.

Properties
Density of states at the Fermi level, states/eV/atom: 0.80
Crystal system: tetragonal
Volume, Å³/cell: 226

```
RbYSbI2
1.0
6.1319 0.0000 0.0000
0.0000 6.1319 0.0000
0.0000 0.0000 6.0024
I Sb Y Rb
2 1 1 1
Cartesian
0.0000 3.0660 0.0000
3.0660 0.0000 0.0000
0.0000 0.0000 3.0012
0.0000 0.0000 0.0000
3.0660 3.0660 3.0012
```

***

B | Here is an optimized crystal structure of RbYSbI2 from the Alexandria database. Energies are from PBE.

Properties
Density of states at the Fermi level, states/eV/atom: 0.30
Crystal system: tetragonal
Volume, Å³/cell: 236

```
RbYSbI2
1.0
6.1424 0.0000 0.0000
0.0000 6.1424 0.0000
0.0000 0.0000 6.2565
I Sb Y Rb
2 1 1 1
Cartesian
0.0000 3.0712 0.0000
3.0712 0.0000 0.0000
0.0000 0.0000 3.1283
3.0712 3.0712 3.1283
0.0000 0.0000 0.0000
```

***

Which is most stable? The ranking, best first, is A, B.

***

A | Here is an optimized crystal structure of RbZnSbI2 from the Alexandria database. Energies are from PBE.

Properties
Density of states at the Fermi level, states/eV/atom: 0.49
Crystal system: tetragonal
Volume, Å³/cell: 199

```
RbZnSbI2
1.0
6.1632 0.0000 0.0000
0.0000 6.1632 0.0000
0.0000 0.0000 5.2423
I Sb Zn Rb
2 1 1 1
Cartesian
0.0000 3.0816 0.0000
3.0816 0.0000 0.0000
0.0000 0.0000 2.6211
0.0000 0.0000 0.0000
3.0816 3.0816 2.6211
```

***

B | Here is an optimized crystal structure of RbZnSbI2 from the Alexandria database. Energies are from PBE.

Properties
Density of states at the Fermi level, states/eV/atom: 2.30
Crystal system: tetragonal
Volume, Å³/cell: 380

```
RbZnSbI2
1.0
-4.9498 -0.5106 4.8256
1.4168 -6.7448 0.7396
5.2973 1.7286 5.6165
I Sb Zn Rb
2 1 1 1
Cartesian
0.7084 -3.3724 0.3698
-2.4749 -0.2553 2.4128
2.6487 0.8643 2.8082
0.8822 -2.7634 5.5909
0.0000 0.0000 0.0000
```

***

Which is most stable? The ranking, best first, is A, B.

***

A | Here is an optimized crystal structure of RbZrSbI2 from the Alexandria database. Energies are from PBE.

Properties
Density of states at the Fermi level, states/eV/atom: 0.93
Crystal system: tetragonal
Volume, Å³/cell: 270

```
RbZrSbI2
1.0
6.4238 0.0000 0.0000
0.0000 6.4238 0.0000
0.0000 0.0000 6.5528
I Sb Rb Zr
2 1 1 1
Cartesian
0.0000 3.2119 0.0000
3.2119 0.0000 0.0000
0.0000 0.0000 3.2764
0.0000 0.0000 0.0000
3.2119 3.2119 3.2764
```

***

B | Here is an optimized crystal structure of RbZrSbI2 from the Alexandria database. Energies are from PBE.

Properties
Density of states at the Fermi level, states/eV/atom: 0.59
Crystal system: tetragonal
Volume, Å³/cell: 200

```
RbZrSbI2
1.0
5.9645 0.0000 0.0000
0.0000 5.9645 0.0000
0.0000 0.0000 5.6104
I Sb Rb Zr
2 1 1 1
Cartesian
0.0000 2.9822 0.0000
2.9822 0.0000 0.0000
0.0000 0.0000 2.8052
2.9822 2.9822 2.8052
0.0000 0.0000 0.0000
```

***

Which is most stable? The ranking, best first, is B, A.

***

A | Here is an optimized crystal structure of Rb3ScI6 from the Alexandria database. Energies are from PBE.

Properties
Density of states at the Fermi level, states/eV/atom: 0.00
Crystal system: trigonal
Volume, Å³/cell: 985

```
Rb3ScI6
1.0
9.9334 -0.7076 0.2247
0.2031 9.9565 0.2247
-0.7755 -0.7076 9.9056
Rb Sc I
6 2 12
Cartesian
0.6030 5.2836 2.4493
1.9022 0.1177 5.5360
3.8824 6.6579 9.5087
5.4787 1.8835 0.8463
7.4588 8.4237 4.8190
8.7580 3.2578 7.9056
0.0000 0.0000 0.0000
4.6805 4.2707 5.1775
0.4180 7.4802 8.0163
2.1383 8.8086 2.0997
1.8257 3.7960 5.5100
1.1872 1.3245 9.1329
4.2642 4.9294 2.3706
4.2759 7.0702 5.8739
5.0851 1.4712 4.4810
5.0968 3.6119 7.9844
8.1738 7.2169 1.2221
7.5353 4.7454 4.8450
7.2227 -0.2672 8.2553
8.9430 1.0612 2.3386
```

***

B | Here is an optimized crystal structure of Rb3ScI6 from the Alexandria database. Energies are from PBE.

Properties
Density of states at the Fermi level, states/eV/atom: 0.00
Crystal system: monoclinic
Volume, Å³/cell: 966

```
Rb3ScI6
1.0
8.5792 0.0000 0.0216
0.0000 9.1535 0.0000
0.1325 0.0000 12.3011
Rb Sc I
6 2 12
Cartesian
4.6751 8.3888 9.2612
4.2896 4.5768 0.0108
4.0366 0.7647 3.0615
0.3192 5.3415 3.0999
0.0662 0.0000 6.1505
8.3924 3.8120 9.2229
4.3558 4.5768 6.1614
0.0000 0.0000 0.0000
6.3317 1.5469 11.6543
5.7085 2.1111 6.9943
5.3726 4.1984 3.4626
3.3390 4.9551 8.8601
3.0031 7.0424 5.3284
2.3800 7.6066 0.6685
1.9759 3.0298 5.4929
1.3527 2.4657 0.8329
1.1493 0.3784 9.6023
7.5624 8.7752 2.7204
7.3590 6.6878 11.4898
6.7358 6.1237 6.8298
```

***

Which is most stable? The ranking, best first, is B, A.

***

A | Here is an optimized crystal structure of Rb2ScI5 from the Alexandria database. Energies are from PBE.

Properties
Density of states at the Fermi level, states/eV/atom: 0.00
Crystal system: orthorhombic
Volume, Å³/cell: 1454

```
Rb2ScI5
1.0
8.2034 0.0000 0.0000
0.0000 10.6619 0.0000
0.0000 0.0000 16.6216
Rb Sc I
8 4 20
Cartesian
6.1525 5.9012 5.0998
2.0508 4.7607 11.5218
2.0508 10.0917 13.4106
6.1525 0.5703 3.2110
6.1525 8.5601 9.7880
2.0508 2.1018 6.8336
2.0508 7.4328 1.4772
6.1525 3.2291 15.1444
6.1525 8.6164 15.6669
2.0508 2.0455 0.9546
2.0508 7.3765 7.3561
6.1525 3.2855 9.2654
6.1525 7.7049 1.8323
2.0508 2.9570 14.7893
2.0508 8.2880 10.1431
6.1525 2.3740 6.4785
4.0865 6.8999 14.8779
4.1169 3.7620 1.7437
4.1169 9.0929 6.5671
8.1881 3.7620 1.7437
4.0865 1.5690 10.0544
0.0152 6.8999 14.8779
0.0152 1.5690 10.0544
8.1881 9.0929 6.5671
4.1017 0.0000 0.0000
4.1017 5.3310 8.3108
0.0000 0.0000 0.0000
0.0000 5.3310 8.3108
6.1525 10.1138 13.2115
2.0508 0.5482 3.4101
2.0508 5.8791 4.9007
6.1525 4.7828 11.7209
```

***

B | Here is an optimized crystal structure of Rb2ScI5 from the Alexandria database. Energies are from PBE.

Properties
Density of states at the Fermi level, states/eV/atom: 0.00
Crystal system: tetragonal
Volume, Å³/cell: 405

```
Rb2ScI5
1.0
-4.1520 -2.7261 7.2653
2.4247 -8.2842 -1.7167
5.2392 6.2127 -0.0078
Rb Sc I
2 1 5
Cartesian
3.4998 -3.7722 0.5880
0.2115 -0.9932 5.0789
3.2321 -4.8433 5.3633
-2.5013 -3.9572 5.3361
-0.2260 -2.4636 1.3591
-1.1719 -8.4936 4.3979
1.0993 -7.0001 0.4187
0.9862 -5.2060 3.9437
```

***

Which is most stable? The ranking, best first, is A, B.

***

A | Here is an optimized crystal structure of RbScI2 from the Alexandria database. Energies are from PBE.

Properties
Density of states at the Fermi level, states/eV/atom: 0.70
Crystal system: cubic
Volume, Å³/cell: 138

```
RbScI2
1.0
0.6047 2.1514 5.3487
1.7716 5.4694 0.7409
-3.7066 4.0086 1.9479
I Sc Rb
2 1 1
Cartesian
-0.3326 2.9074 2.0094
-0.9977 8.7221 6.0281
0.0000 0.0000 0.0000
-0.6651 5.8147 4.0187
```

***

B | Here is an optimized crystal structure of RbScI2 from the Alexandria database. Energies are from PBE.

Properties
Density of states at the Fermi level, states/eV/atom: 0.73
Crystal system: trigonal
Volume, Å³/cell: 148

```
RbScI2
1.0
-1.4209 3.7327 1.2257
-2.1511 0.3488 3.5645
7.1402 2.9313 6.4705
I Sc Rb
2 1 1
Cartesian
0.3477 1.6505 2.4967
3.2206 5.3622 8.7639
0.0000 0.0000 0.0000
1.7841 3.5064 5.6303
```

***

C | Here is an optimized crystal structure of RbScI2 from the Alexandria database. Energies are from PBE.

Properties
Density of states at the Fermi level, states/eV/atom: 1.61
Crystal system: tetragonal
Volume, Å³/cell: 415

```
RbScI2
1.0
-6.8821 -2.7940 0.5346
2.8197 -6.8851 0.3153
-1.6533 -4.3433 7.8830
I Sc Rb
4 2 2
Cartesian
-3.7773 -3.4553 2.2989
-0.0961 -5.9757 2.2801
-2.5237 -7.4722 6.2578
-5.0342 -11.1416 6.6291
-2.0312 -4.8396 0.4250
-0.4324 -8.0340 4.3116
0.0000 0.0000 0.0000
-5.2833 -5.9884 4.4213
```

***

Which is most stable? The ranking, best first, is B, C, A.